EuTm2Co: optimized geometry, PBE.

Calculated values
As for the formation energy: 0.0668 eV/atom. As for the total DFT energy (no corrections): -6.514 eV/atom.

a = 3.727 Å, b = 3.727 Å, c = 10.474 Å
α = 79.75°, β = 79.75°, γ = 60.00°
Fractional coordinates of all 4 atoms:
Eu 0.000 0.000 0.000
Tm 0.119 0.119 0.643
Tm 0.881 0.881 0.357
Co 0.500 0.500 0.500